1.
{
  "formula": "Ac2B4Os5",
  "functional": "GGA-PBE",
  "state": "optimized geometry",
  "total_energy_ev_per_atom": -8.514,
  "dos_ef_per_ev_atom": 0.82,
  "e_form_ev_per_atom": -0.235,
  "mass_density_g_cm3": 14.36,
  "cell": [[5.031, 0.000, 2.402], [2.516, 5.206, 1.201], [0.030, 0.000, 6.407]],
  "species": ["Ac", "Ac", "B", "B", "B", "B", "Os", "Os", "Os", "Os", "Os"],
  "frac_coords": [[0.855, 0.000, 0.290], [0.145, 0.000, 0.710], [0.469, 0.323, 0.739], [0.531, 0.677, 0.261], [0.208, 0.323, 0.261], [0.792, 0.677, 0.739], [0.500, 0.000, 0.000], [0.000, 0.500, 0.000], [0.500, 0.500, 0.000], [0.250, 0.500, 0.500], [0.750, 0.500, 0.500]]
}

---

2.
{
  "formula": "Na3Sc2GeO6",
  "functional": "GGA-PBE",
  "state": "optimized geometry",
  "total_energy_ev_per_atom": -6.561,
  "dos_ef_per_ev_atom": 0.44,
  "e_form_raw_ev_per_atom": -2.313,
  "mass_density_g_cm3": 3.78,
  "cell": [[-0.089, 1.898, 5.170], [-0.437, -5.407, -0.955], [5.622, 0.678, -1.129]],
  "species": ["Na", "Na", "Na", "Sc", "Sc", "Ge", "O", "O", "O", "O", "O", "O"],
  "frac_coords": [[0.163, 0.837, 0.500], [0.837, 0.163, 0.500], [0.500, 0.500, 0.500], [0.333, 0.667, 0.000], [0.667, 0.333, 0.000], [0.000, 0.000, 0.000], [0.932, 0.600, 0.796], [0.736, 0.736, 0.204], [0.068, 0.400, 0.204], [0.600, 0.932, 0.796], [0.264, 0.264, 0.796], [0.400, 0.068, 0.204]]
}

---

3.
{
  "formula": "Th2Pd3",
  "functional": "GGA-PBE",
  "state": "optimized geometry",
  "total_energy_ev_per_atom": -6.692,
  "dos_ef_per_ev_atom": 0.87,
  "e_form_ev_per_atom": -0.609,
  "mass_density_g_cm3": 10.62,
  "cell": [[-4.367, -3.266, -6.651], [5.134, -6.055, 3.309], [-5.527, 2.677, 6.022]],
  "species": ["Th", "Th", "Th", "Th", "Th", "Th", "Th", "Th", "Pd", "Pd", "Pd", "Pd", "Pd", "Pd", "Pd", "Pd", "Pd", "Pd", "Pd", "Pd"],
  "frac_coords": [[0.927, 0.427, 0.427], [0.000, 0.000, 0.073], [0.573, 0.500, 0.000], [0.500, 0.073, 0.500], [0.427, 0.927, 0.927], [0.000, 0.000, 0.573], [0.500, 0.573, 0.500], [0.073, 0.500, 0.000], [0.511, 0.250, 0.261], [0.989, 0.750, 0.239], [0.750, 0.261, 0.011], [0.250, 0.239, 0.489], [0.761, 0.011, 0.250], [0.739, 0.489, 0.750], [0.250, 0.511, 0.761], [0.750, 0.989, 0.739], [0.261, 0.750, 0.511], [0.239, 0.250, 0.989], [0.011, 0.761, 0.750], [0.489, 0.739, 0.250]]
}

---

4.
{
  "formula": "Mn2CrP2",
  "functional": "GGA-PBE",
  "state": "optimized geometry",
  "total_energy_ev_per_atom": -8.143,
  "dos_ef_per_ev_atom": 0.57,
  "e_form_ev_per_atom": -0.387,
  "mass_density_g_cm3": 5.96,
  "cell": [[2.891, 0.000, -0.728], [-0.402, 6.518, -1.593], [0.129, -0.100, 6.614]],
  "species": ["Mn", "Mn", "Mn", "Mn", "Cr", "Cr", "P", "P", "P", "P"],
  "frac_coords": [[0.000, 0.738, 0.500], [0.316, 0.152, 0.133], [0.684, 0.848, 0.867], [0.000, 0.262, 0.500], [0.320, 0.667, 0.139], [0.680, 0.333, 0.861], [0.878, 0.941, 0.256], [0.132, 0.567, 0.764], [0.122, 0.059, 0.744], [0.868, 0.433, 0.236]]
}

---

5.
{
  "formula": "NaS2NO",
  "functional": "GGA-PBE",
  "state": "optimized geometry",
  "total_energy_ev_per_atom": -2.549,
  "dos_ef_per_ev_atom": 0.75,
  "e_above_lowest_polymorph_kj_per_mol_atoms": 89.0,
  "e_form_raw_ev_per_atom": 2.023,
  "mass_density_g_cm3": 1.46,
  "cell": [[-0.138, 5.276, 0.803], [-5.129, 0.091, -1.475], [-1.293, -0.712, 4.452]],
  "species": ["Na", "S", "S", "O", "N"],
  "frac_coords": [[0.000, 0.000, 0.000], [0.000, 0.500, 0.000], [0.500, 0.000, 0.000], [0.500, 0.500, 0.500], [0.000, 0.000, 0.500]]
}

---

6.
{
  "formula": "Hf3TcAs",
  "functional": "GGA-PBE",
  "state": "optimized geometry",
  "total_energy_ev_per_atom": -8.432,
  "dos_ef_per_ev_atom": 0.76,
  "e_form_ev_per_atom": 0.543,
  "e_above_lowest_polymorph_kj_per_mol_atoms": 10.6,
  "mass_density_g_cm3": 10.21,
  "cell": [[-1.251, 1.191, 4.549], [-4.692, -0.617, -1.129], [0.300, -4.677, 1.307]],
  "species": ["As", "Hf", "Hf", "Hf", "Tc"],
  "frac_coords": [[0.000, 0.000, 0.000], [0.000, 0.500, 0.000], [0.000, 0.000, 0.500], [0.500, 0.000, 0.000], [0.500, 0.500, 0.500]]
}